Entry from Alexandria: an optimized crystal structure of Ba2HoAgS4 (GGA-PBE).

The structure in CIF format:
```
data_Ba2HoAgS4
_cell_length_a 7.3078
_cell_length_b 4.2363
_cell_length_c 7.4588
_cell_angle_alpha 90.00
_cell_angle_beta 110.59
_cell_angle_gamma 90.00
_symmetry_space_group_name_H-M 'P 1 2/m 1'
_symmetry_Int_Tables_number 10
loop_
_symmetry_equiv_pos_as_xyz
'x,y,z'
'-x,-y,-z'
'-x,y,-z'
'x,-y,z'
loop_
_atom_site_label
_atom_site_type_symbol
_atom_site_fract_x
_atom_site_fract_y
_atom_site_fract_z
Ba1 Ba 0.0000 0.0000 0.0000
Ba2 Ba 0.0000 0.5000 0.5000
Ho1 Ho 0.5000 0.0000 0.5000
Ag1 Ag 0.5000 0.5000 0.0000
S1 S 0.2815 0.5000 0.2781
S2 S 0.2916 0.0000 0.7497
```

Values from the calculation:
Raw total energy (eV per atom): -5.062
E_form (uncorrected) (eV per formula unit): -12.71